Record 1
This record from Alexandria describes crystalline PrHg3Au at its relaxed geometry. The functional is PBE-GGA.

Properties
VASP energy ... -0.07468 Ha/atom
Space group ... Cm

a = 5.867 Å, b = 5.867 Å, c = 5.411 Å
α = 105.81°, β = 105.81°, γ = 119.59°
Fractional coordinates of all 5 atoms:
Pr (0.369, 0.369, 0.740)
Hg (0.694, 0.197, 0.391)
Hg (0.197, 0.694, 0.391)
Hg (0.024, 0.024, 0.051)
Au (0.713, 0.713, 0.421)

Record 2
This record from Alexandria describes crystalline Dy5Er2Th4 at its relaxed geometry. The functional is PBE-GGA.

Properties
VASP energy ... -0.19921 Ha/atom
Space group ... C2/m

a = 6.637 Å, b = 8.975 Å, c = 10.240 Å
α = 39.25°, β = 71.09°, γ = 68.30°
Fractional coordinates of all 11 atoms:
Dy (0.175, 0.266, 0.906)
Dy (0.825, 0.734, 0.094)
Dy (0.000, 0.500, 0.500)
Dy (0.653, 0.266, 0.906)
Dy (0.347, 0.734, 0.094)
Er (0.196, 0.928, 0.680)
Er (0.804, 0.072, 0.320)
Th (0.405, 0.779, 0.411)
Th (0.595, 0.221, 0.589)
Th (0.752, 0.658, 0.837)
Th (0.248, 0.342, 0.163)

Record 3
This record from Alexandria describes crystalline MgIr2Rh at its relaxed geometry. The functional is PBE-GGA.

Properties
VASP energy ... -0.25207 Ha/atom
Space group ... Pmm2

a = 4.430 Å, b = 2.784 Å, c = 4.780 Å
α = 90.00°, β = 90.00°, γ = 90.00°
Fractional coordinates of all 4 atoms:
Mg (0.000, 0.375, 0.555)
Ir (0.000, 0.875, 0.052)
Ir (0.500, 0.375, 0.196)
Rh (0.500, 0.875, 0.697)

Record 4
This record from Alexandria describes crystalline LaPmH6Rh2 at its relaxed geometry. The functional is PBE-GGA.

Properties
VASP energy ... -0.18422 Ha/atom
Space group ... C2/c

a = 6.170 Å, b = 6.170 Å, c = 6.613 Å
α = 102.89°, β = 102.89°, γ = 101.74°
Fractional coordinates of all 20 atoms:
La (0.150, 0.850, 0.250)
La (0.850, 0.150, 0.750)
Pm (0.596, 0.404, 0.250)
Pm (0.404, 0.596, 0.750)
H (0.927, 0.426, 0.114)
H (0.574, 0.073, 0.386)
H (0.073, 0.574, 0.886)
H (0.426, 0.927, 0.614)
H (0.213, 0.164, 0.021)
H (0.836, 0.787, 0.479)
H (0.787, 0.836, 0.979)
H (0.164, 0.213, 0.521)
H (0.309, 0.544, 0.377)
H (0.456, 0.691, 0.123)
H (0.691, 0.456, 0.623)
H (0.544, 0.309, 0.877)
Rh (0.323, 0.064, 0.813)
Rh (0.936, 0.677, 0.687)
Rh (0.677, 0.936, 0.187)
Rh (0.064, 0.323, 0.313)

Record 5
This record from Alexandria describes crystalline NdH2Cl6 at its relaxed geometry. The functional is PBE-GGA.

Properties
VASP energy ... -0.13253 Ha/atom
Space group ... C2/c

a = 5.590 Å, b = 9.851 Å, c = 9.851 Å
α = 80.96°, β = 84.02°, γ = 84.02°
Fractional coordinates of all 18 atoms:
Nd (0.250, 0.115, 0.885)
Nd (0.750, 0.885, 0.115)
H (0.316, 0.504, 0.740)
H (0.184, 0.260, 0.496)
H (0.684, 0.496, 0.260)
H (0.816, 0.740, 0.504)
Cl (0.302, 0.628, 0.623)
Cl (0.198, 0.377, 0.372)
Cl (0.698, 0.372, 0.377)
Cl (0.802, 0.623, 0.628)
Cl (0.849, 0.867, 0.387)
Cl (0.651, 0.613, 0.133)
Cl (0.151, 0.133, 0.613)
Cl (0.349, 0.387, 0.867)
Cl (0.166, 0.830, 0.961)
Cl (0.334, 0.039, 0.170)
Cl (0.834, 0.170, 0.039)
Cl (0.666, 0.961, 0.830)

Record 6
This record from Alexandria describes crystalline RbNaSb at its relaxed geometry. The functional is PBE-GGA.

Properties
Uncorrected formation energy ... -289.8 meV/atom
Space group ... Immm
Offset from the most stable computed form ... 0.3 kJ per mole of atoms

a = 4.990 Å, b = 7.215 Å, c = 8.472 Å
α = 115.20°, β = 107.13°, γ = 90.00°
Fractional coordinates of all 6 atoms:
Rb (0.708, 0.708, 0.417)
Rb (0.292, 0.292, 0.583)
Na (0.000, 0.793, 0.000)
Na (0.000, 0.207, 0.000)
Sb (0.602, 0.102, 0.204)
Sb (0.398, 0.898, 0.796)

Record 7
This record from Alexandria describes crystalline Sc2AgI at its relaxed geometry. The functional is PBE-GGA.

Properties
Uncorrected formation energy ... -41.2 meV/atom
Space group ... I-42d
Offset from the most stable computed form ... 12.8 kJ per mole of atoms

a = 7.712 Å, b = 7.712 Å, c = 6.408 Å
α = 53.01°, β = 53.01°, γ = 90.00°
Fractional coordinates of all 8 atoms:
I (0.000, 0.000, 0.000)
I (0.750, 0.250, 0.500)
Sc (0.611, 0.125, 0.250)
Sc (0.139, 0.625, 0.250)
Sc (0.375, 0.389, 0.750)
Sc (0.875, 0.861, 0.750)
Ag (0.500, 0.500, 0.000)
Ag (0.250, 0.750, 0.500)

Record 8
This record from Alexandria describes crystalline LiIrW at its relaxed geometry. The functional is PBE-GGA.

Properties
Space group ... P-6m2
Offset from the most stable computed form ... 8.3 kJ per mole of atoms

a = 2.747 Å, b = 2.747 Å, c = 13.950 Å
α = 90.00°, β = 90.00°, γ = 120.00°
Fractional coordinates of all 6 atoms:
Ir (0.610, 0.221, 0.000)
Ir (0.278, 0.557, 0.500)
W (0.612, 0.223, 0.338)
W (0.612, 0.223, 0.662)
Li (0.277, 0.555, 0.847)
Li (0.277, 0.555, 0.153)

Record 9
This record from Alexandria describes crystalline MnTlRh2 at its relaxed geometry. The functional is PBE-GGA.

Properties
VASP energy ... -0.23790 Ha/atom
Space group ... I-4m2

a = 5.018 Å, b = 5.018 Å, c = 5.018 Å
α = 134.05°, β = 134.05°, γ = 67.02°
Fractional coordinates of all 4 atoms:
Mn (0.750, 0.250, 0.500)
Rh (0.000, 0.000, 0.000)
Rh (0.250, 0.750, 0.500)
Tl (0.500, 0.500, 0.000)

Record 10
This record from Alexandria describes crystalline Cs2CePmSe4 at its relaxed geometry. The functional is PBE-GGA.

Properties
Uncorrected formation energy ... -1697.9 meV/atom
Space group ... P2/m

a = 4.411 Å, b = 7.637 Å, c = 8.757 Å
α = 106.88°, β = 90.00°, γ = 90.00°
Fractional coordinates of all 8 atoms:
Cs (0.500, 0.000, 0.500)
Cs (0.000, 0.500, 0.500)
Ce (0.500, 0.500, 0.000)
Pm (0.000, 0.000, 0.000)
Se (0.500, 0.228, 0.189)
Se (0.500, 0.772, 0.811)
Se (0.000, 0.268, 0.811)
Se (0.000, 0.732, 0.189)

Record 11
This record from Alexandria describes crystalline Ce3MnAg3S8 at its relaxed geometry. The functional is PBE-GGA.

Properties
Uncorrected formation energy ... -1081.9 meV/atom
Space group ... R-3m

a = 8.079 Å, b = 8.077 Å, c = 7.620 Å
α = 122.05°, β = 90.00°, γ = 120.01°
Fractional coordinates of all 15 atoms:
Ce (0.500, 0.000, 0.500)
Ce (0.500, 0.500, 0.500)
Ce (0.000, 0.500, 0.500)
Mn (0.000, 0.000, 0.500)
Ag (0.000, 0.000, 0.000)
Ag (0.000, 0.500, 0.000)
Ag (0.500, 0.500, 0.000)
S (0.250, 0.501, 0.251)
S (0.750, 0.499, 0.749)
S (0.765, 0.530, 0.268)
S (0.235, 0.470, 0.732)
S (0.765, 0.003, 0.268)
S (0.235, 0.997, 0.732)
S (0.238, 0.003, 0.268)
S (0.762, 0.997, 0.732)

Record 12
This record from Alexandria describes crystalline HoPu2UP4 at its relaxed geometry. The functional is PBE-GGA.

Properties
VASP energy ... -0.34930 Ha/atom
Space group ... P2/m

a = 3.975 Å, b = 6.915 Å, c = 6.855 Å
α = 109.34°, β = 90.00°, γ = 90.00°
Fractional coordinates of all 8 atoms:
Ho (0.000, 0.000, 0.000)
Pu (0.500, 0.000, 0.500)
Pu (0.000, 0.500, 0.500)
U (0.500, 0.500, 0.000)
P (0.500, 0.254, 0.249)
P (0.500, 0.746, 0.751)
P (0.000, 0.254, 0.753)
P (0.000, 0.746, 0.247)